(1)
A relaxed PuMnPdO6 crystal. Source: Alexandria, functional PBE with a Hubbard U.

It has space group P-31c (No. 163), with a = 5.3301 Å, b = 5.3301 Å, c = 8.8901 Å, α = 90.00°, β = 90.00° and γ = 120.00°. The asymmetric unit holds Pu at (0.3333, 0.6667, 0.2500), Mn at (0.3333, 0.6667, 0.7500), Pd at (0.0000, 0.0000, 0.0000) and O at (0.0060, 0.3374, 0.1277).

The uncorrected energy is -7.832 eV per atom.

=====

(2)
A relaxed Rb2MnPdO4 crystal. Source: Alexandria, functional PBE with a Hubbard U.

It has space group Fddd (No. 70, origin choice 2), with a = 5.385 Å, b = 12.096 Å, c = 20.487 Å, α = 90.00°, β = 90.00° and γ = 90.00°. The asymmetric unit holds Rb at (0.125, 0.125, 0.302), Mn at (0.125, 0.125, 0.125), Pd at (0.125, 0.125, 0.625) and O at (0.058, 0.289, 0.424).

The uncorrected energy is -5.245 eV per atom.

=====

(3)
A relaxed MnPdRhO6 crystal. Source: Alexandria, functional PBE with a Hubbard U.

It has space group P-31c (No. 163), with a = 5.1276 Å, b = 5.1276 Å, c = 8.7673 Å, α = 90.00°, β = 90.00° and γ = 120.00°. The asymmetric unit holds Mn at (0.0000, 0.0000, 0.0000), Pd at (0.3333, 0.6667, 0.2500), Rh at (0.3333, 0.6667, 0.7500) and O at (0.0050, 0.3512, 0.6252).

The uncorrected energy is -6.213 eV per atom.

=====

(4)
A relaxed MnPdRuO6 crystal. Source: Alexandria, functional PBE with a Hubbard U.

It has space group P-31c (No. 163), with a = 5.1406 Å, b = 5.1406 Å, c = 9.0797 Å, α = 90.00°, β = 90.00° and γ = 120.00°. The asymmetric unit holds Mn at (0.0000, 0.0000, 0.0000), Pd at (0.3333, 0.6667, 0.2500), Ru at (0.3333, 0.6667, 0.7500) and O at (0.0100, 0.3587, 0.6305).

The uncorrected energy is -6.536 eV per atom.

=====

(5)
A relaxed TaMnPdO6 crystal. Source: Alexandria, functional PBE with a Hubbard U.

It has space group P4_2nm (No. 102), with a = 4.723 Å, b = 4.723 Å, c = 9.223 Å, α = 90.00°, β = 90.00° and γ = 90.00°. The asymmetric unit holds Ta at (0.000, 0.000, 0.000), Mn at (0.000, 0.000, 0.334), Pd at (0.000, 0.000, 0.666), O at (0.190, 0.190, 0.836), O at (0.194, 0.194, 0.494) and O at (0.195, 0.195, 0.164).

The uncorrected energy is -7.632 eV per atom.

=====

(6)
A relaxed MnTePdO2 crystal. Source: Alexandria, functional PBE with a Hubbard U.

It has space group P4/mmm (No. 123), with a = 3.940 Å, b = 3.940 Å, c = 5.731 Å, α = 90.00°, β = 90.00° and γ = 90.00°. The asymmetric unit holds Mn at (0.000, 0.000, 0.000), Te at (0.500, 0.500, 0.000), Pd at (0.000, 0.000, 0.500) and O at (0.000, 0.500, 0.500).

The uncorrected energy is -5.058 eV per atom.

=====

(7)
A relaxed TiMn2PdO crystal. Source: Alexandria, functional PBE with a Hubbard U.

It has space group P4/mmm (No. 123), with a = 4.926 Å, b = 4.926 Å, c = 4.702 Å, α = 90.00°, β = 90.00° and γ = 90.00°. The asymmetric unit holds Ti at (0.000, 0.000, 0.000), Mn at (0.000, 0.500, 0.500), Pd at (0.000, 0.000, 0.500) and O at (0.500, 0.500, 0.000).

The uncorrected energy is -5.834 eV per atom.

=====

(8)
A relaxed UMn2PdO8 crystal. Source: Alexandria, functional PBE with a Hubbard U.

It has space group P2/m (No. 10), with a = 4.875 Å, b = 6.121 Å, c = 4.955 Å, α = 90.00°, β = 94.29° and γ = 90.00°. The asymmetric unit holds U at (0.000, 0.000, 0.000), Mn at (0.500, 0.256, 0.500), Pd at (0.000, 0.500, 0.000), O at (0.199, 0.252, 0.822), O at (0.294, 0.500, 0.325) and O at (0.310, 0.000, 0.327).

The uncorrected energy is -7.651 eV per atom.

=====

(9)
A relaxed MnV2PdO8 crystal. Source: Alexandria, functional PBE with a Hubbard U.

It has space group P-3m1 (No. 164), with a = 5.7157 Å, b = 5.7157 Å, c = 5.6638 Å, α = 90.00°, β = 90.00° and γ = 120.00°. The asymmetric unit holds Mn at (0.0000, 0.0000, 0.0000), V at (0.3333, 0.6667, 0.1436), Pd at (0.0000, 0.0000, 0.5000), O at (0.1545, 0.3090, 0.2182) and O at (0.3333, 0.6667, 0.8585).

The uncorrected energy is -6.878 eV per atom.

=====

(10)
A relaxed MnPd2WO crystal. Source: Alexandria, functional PBE with a Hubbard U.

It has space group P4/mmm (No. 123), with a = 4.830 Å, b = 4.830 Å, c = 5.298 Å, α = 90.00°, β = 90.00° and γ = 90.00°. The asymmetric unit holds Mn at (0.000, 0.000, 0.000), Pd at (0.000, 0.500, 0.500), W at (0.000, 0.000, 0.500) and O at (0.500, 0.500, 0.000).

The uncorrected energy is -4.205 eV per atom.

=====

(11)
A relaxed Pm3Mn5O12 crystal. Source: Alexandria, functional PBE with a Hubbard U.

It has space group Ia-3d (No. 230), with a = 12.742 Å, b = 12.742 Å, c = 12.742 Å, α = 90.00°, β = 90.00° and γ = 90.00°. The asymmetric unit holds Pm at (0.000, 0.250, 0.125), Mn at (0.000, 0.000, 0.000), Mn at (0.000, 0.250, 0.375) and O at (0.024, 0.053, 0.646).

The uncorrected energy is -7.795 eV per atom.

=====

(12)
A relaxed Pm3MnO6 crystal. Source: Alexandria, functional PBE with a Hubbard U.

It has space group Cmc2_1 (No. 36), with a = 9.295 Å, b = 11.408 Å, c = 5.634 Å, α = 90.00°, β = 90.00° and γ = 90.00°. The asymmetric unit holds Pm at (0.000, 0.104, 0.000), Pm at (0.199, 0.389, 0.953), Mn at (0.000, 0.328, 0.426), O at (0.000, 0.282, 0.754), O at (0.000, 0.460, 0.222), O at (0.156, 0.246, 0.255) and O at (0.158, 0.013, 0.725).

For the polymorph energy (0 for the lowest one), the calculation gives 0 meV/atom. The uncorrected energy is -8.062 eV per atom.